A plane-wave DFT calculation with PBE was carried out for crystalline Ti2TcClO at its relaxed geometry.

Unit cell a=4.180 b=4.068 c=4.180 alpha=90.00 beta=90.00 gamma=90.00
Element x y z (fractional)
Cl1 0.500 0.500 0.500
Ti1 0.000 0.000 0.500
Tc1 0.000 0.500 0.000
O1 0.000 0.000 0.000
Ti2 0.500 0.000 0.000

Summary:
Spin magnetization ... 0.00 μB per cell
ΔE_f (raw) ... -38.6 kJ/mol of atoms
Space-group type ... No. 123
DOS at the Fermi energy ... 3.08 states/eV per cell
E ... -6.99 eV/atom



A plane-wave DFT calculation with PBE was carried out for crystalline TlTcClO4 at its relaxed geometry.

Unit cell a=6.629 b=6.629 c=8.758 alpha=70.90 beta=70.90 gamma=72.97
Element x y z (fractional)
O1 0.511 0.870 0.755
O2 0.489 0.130 0.245
O3 0.130 0.489 0.245
Cl1 0.940 0.940 0.854
O4 0.561 0.561 0.172
O5 0.353 0.353 0.502
Tc1 0.617 0.617 0.709
Tl1 0.794 0.794 0.188
O6 0.870 0.511 0.755
Tl2 0.206 0.206 0.812
Cl2 0.060 0.060 0.146
O7 0.647 0.647 0.498
Tc2 0.383 0.383 0.291
O8 0.439 0.439 0.828

Summary:
Spin magnetization ... 0.00 μB per cell
ΔE_f (raw) ... -105.0 kJ/mol of atoms
Space-group type ... No. 12
DOS at the Fermi energy ... 2.10 states/eV per cell
E ... -6.00 eV/atom



Question: E of number 2 (TlTcClO4)?
Answer: -6.00 eV/atom